# 1
Computed, not measured: crystalline NaSr2NpTe4 at its relaxed geometry at the PBE-GGA level of DFT.

Cell and atoms, written as POSCAR:
```
NaSr2NpTe4
1.0
7.984 0.000 0.000
0.000 4.638 0.000
-2.605 0.000 7.609
Na Sr Np Te
1 2 1 4
Direct
0.000 0.000 0.000 Na
0.500 0.000 0.500 Sr
0.500 0.500 0.000 Sr
0.000 0.500 0.500 Np
0.233 0.000 0.739 Te
0.239 0.500 0.255 Te
0.761 0.500 0.745 Te
0.767 0.000 0.261 Te
```

Total magnetic moment, μB per formula unit: 4.00
V, Å³ per atom: 35.22
Space group: P2/m
E, eV/cell: -40.08
E_form (uncorrected), meV/atom: -1236


# 2
Computed, not measured: crystalline Na2SrNpTe4 at its relaxed geometry at the PBE-GGA level of DFT.

Cell and atoms, written as POSCAR:
```
Na2SrNpTe4
1.0
7.927 0.000 0.000
0.000 4.588 0.000
-2.639 0.000 7.540
Na Sr Np Te
2 1 1 4
Direct
0.000 0.000 0.000 Na
0.000 0.500 0.500 Na
0.500 0.000 0.500 Sr
0.500 0.500 0.000 Np
0.260 0.500 0.230 Te
0.267 0.000 0.774 Te
0.733 0.000 0.226 Te
0.740 0.500 0.770 Te
```

Total magnetic moment, μB per formula unit: 3.00
V, Å³ per atom: 34.28
Space group: P2/m
E, eV/cell: -37.96
E_form (uncorrected), meV/atom: -1017


# 3
Computed, not measured: crystalline Na2TbNpTe4 at its relaxed geometry at the PBE-GGA level of DFT.

Cell and atoms, written as POSCAR:
```
Na2TbNpTe4
1.0
7.762 0.000 0.000
0.000 4.469 0.000
-2.600 0.000 7.523
Na Tb Np Te
2 1 1 4
Direct
0.000 0.000 0.000 Na
0.500 0.500 0.000 Na
0.000 0.500 0.500 Tb
0.500 0.000 0.500 Np
0.242 0.000 0.734 Te
0.252 0.500 0.266 Te
0.748 0.500 0.734 Te
0.758 0.000 0.266 Te
```

Total magnetic moment, μB per formula unit: 4.00
V, Å³ per atom: 32.62
Space group: P2/m
E, eV/cell: -41.24
E_form (uncorrected), meV/atom: -1058


# 4
Computed, not measured: crystalline NaTb2NpTe4 at its relaxed geometry at the PBE-GGA level of DFT.

Cell and atoms, written as POSCAR:
```
NaTb2NpTe4
1.0
7.670 0.000 0.000
0.000 4.383 0.000
-2.517 0.000 7.263
Na Tb Np Te
1 2 1 4
Direct
0.000 0.000 0.000 Na
0.000 0.500 0.500 Tb
0.500 0.000 0.500 Tb
0.500 0.500 0.000 Np
0.249 0.000 0.747 Te
0.251 0.500 0.255 Te
0.749 0.500 0.745 Te
0.751 0.000 0.253 Te
```

Total magnetic moment, μB per formula unit: 4.77
V, Å³ per atom: 30.53
Space group: P2/m
E, eV/cell: -45.00
E_form (uncorrected), meV/atom: -1114


# 5
Computed, not measured: crystalline Na2TbNp3Te6 at its relaxed geometry at the PBE-GGA level of DFT.

Cell and atoms, written as POSCAR:
```
Na2TbNp3Te6
1.0
3.845 -6.653 0.000
3.845 6.653 0.000
-2.551 0.000 7.314
Na Tb Np Te
2 1 3 6
Direct
0.166 0.834 0.000 Na
0.834 0.166 0.000 Na
0.500 0.500 0.000 Tb
0.000 0.000 0.500 Np
0.331 0.669 0.500 Np
0.669 0.331 0.500 Np
0.089 0.416 0.749 Te
0.257 0.257 0.254 Te
0.416 0.089 0.749 Te
0.584 0.911 0.251 Te
0.743 0.743 0.746 Te
0.911 0.584 0.251 Te
```

Total magnetic moment, μB per formula unit: 13.86
V, Å³ per atom: 31.18
Space group: C2/m
E, eV/cell: -75.40
E_form (uncorrected), meV/atom: -871


# 6
Computed, not measured: crystalline NaNp2Te3 at its relaxed geometry at the PBE-GGA level of DFT.

Cell and atoms, written as POSCAR:
```
NaNp2Te3
1.0
-2.210 3.128 6.772
2.210 -3.128 6.772
2.210 3.128 -6.772
Na Np Te
1 2 3
Direct
0.000 0.000 0.000 Na
0.336 0.336 0.000 Np
0.664 0.664 0.000 Np
0.173 0.673 0.500 Te
0.500 0.000 0.500 Te
0.827 0.327 0.500 Te
```

Total magnetic moment, μB per formula unit: 9.00
V, Å³ per atom: 31.21
Space group: Immm
E, eV/cell: -41.02
E_form (uncorrected), meV/atom: -733


# 7
Computed, not measured: crystalline Na2Np2Te5 at its relaxed geometry at the PBE-GGA level of DFT.

Cell and atoms, written as POSCAR:
```
Na2Np2Te5
1.0
-2.177 3.674 8.922
2.177 -3.674 8.922
2.177 3.674 -8.922
Na Np Te
2 2 5
Direct
0.229 0.229 0.000 Na
0.771 0.771 0.000 Na
0.219 0.000 0.219 Np
0.781 0.000 0.781 Np
0.100 0.600 0.500 Te
0.356 0.856 0.500 Te
0.500 0.500 0.000 Te
0.644 0.144 0.500 Te
0.900 0.400 0.500 Te
```

Total magnetic moment, μB per formula unit: 7.67
V, Å³ per atom: 31.71
Space group: Immm
E, eV/cell: -49.62
E_form (uncorrected), meV/atom: -599


# 8
Computed, not measured: crystalline Na5NpTe6 at its relaxed geometry at the PBE-GGA level of DFT.

Cell and atoms, written as POSCAR:
```
Na5NpTe6
1.0
3.937 -6.860 0.000
3.937 6.860 0.000
-2.705 0.000 7.260
Na Np Te
5 1 6
Direct
0.000 0.000 0.000 Na
0.166 0.834 0.500 Na
0.322 0.678 0.000 Na
0.678 0.322 0.000 Na
0.834 0.166 0.500 Na
0.500 0.500 0.500 Np
0.114 0.422 0.265 Te
0.277 0.277 0.735 Te
0.422 0.114 0.265 Te
0.578 0.886 0.735 Te
0.723 0.723 0.265 Te
0.886 0.578 0.735 Te
```

Total magnetic moment, μB per formula unit: 0.10
V, Å³ per atom: 32.68
Space group: C2/m
E, eV/cell: -46.38
E_form (uncorrected), meV/atom: -666